A plane-wave DFT calculation with PBE-GGA was carried out for a relaxed Pm3CdAu crystal.

extended XYZ file:
```
20
Lattice="7.650 0.000 0.000 0.000 7.418 0.000 -1.952 0.000 10.130" Properties=species:S:1:pos:R:3 pbc="T T T"
Pm 0.280 0.967 4.129
Pm -0.696 2.742 9.194
Pm 0.511 3.955 6.204
Pm 1.487 7.172 1.139
Pm 1.013 0.022 7.564
Pm 1.989 3.687 2.499
Pm 3.709 3.731 7.631
Pm 4.685 7.395 2.566
Pm 4.212 0.246 8.990
Pm 5.187 3.463 3.926
Pm 6.394 4.676 0.935
Pm 5.418 6.450 6.000
Cd 1.588 5.161 9.806
Cd 2.564 5.966 4.741
Cd 3.135 1.452 5.388
Cd 4.110 2.257 0.323
Au -0.263 5.522 3.704
Au -1.239 5.605 8.769
Au 6.937 1.813 1.361
Au 5.961 1.896 6.425
```

Calculated values
DFT formation energy	-1.90	eV per formula unit
SG	P2_1/c, No. 14